*1*
A plane-wave DFT calculation with PBE was carried out for a relaxed structure of TbCeSi.

abc: 4.1804 4.1804 16.7091
angles: 90.00 90.00 90.00
Last column: nearest neighbours and their distance in Å.
Space group I4/mmm (No. 139)
Unique sites:
Tb1 0.0000 0.0000 0.1802 x4  5 Si 3.03-3.04
Ce1 0.0000 0.5000 0.0000 x4  4 Ce 2.96, 4 Si 3.12
Si1 0.0000 0.0000 0.3616 x4  5 Tb 3.03-3.04, 4 Ce 3.12

Calculated values
The crystal system is tetragonal.

---

*2*
A plane-wave DFT calculation with PBE was carried out for a relaxed structure of TbCeSi.

abc: 4.6802 4.6802 4.0529
angles: 90.00 90.00 120.00
Last column: nearest neighbours and their distance in Å.
Space group P3m1 (No. 156)
Unique sites:
Tb1 0.0000 0.0000 0.0000 x1  3 Si 2.84
Ce1 0.6667 0.3333 0.5534 x1  3 Si 3.04, 3 Tb 3.25
Si1 0.3333 0.6667 0.2120 x1  3 Tb 2.84, 3 Ce 3.04

Calculated values
The crystal system is trigonal.

---

*3*
A plane-wave DFT calculation with PBE was carried out for a relaxed structure of TbCeSi.

abc: 7.8868 4.9721 8.9750
angles: 90.00 114.85 90.00
Last column: nearest neighbours and their distance in Å.
Space group C2/m (No. 12)
Unique sites:
Tb1 0.1189 0.0000 0.3744 x4  4 Si 2.86-3.03
Ce1 0.1975 0.5000 0.9076 x4  2 Ce 2.91, 4 Si 2.99-3.08
Si1 0.2206 0.5000 0.2539 x4  4 Tb 2.86-3.03, 4 Ce 2.99-3.08

Calculated values
The crystal system is monoclinic.

---

Stability summary: most stable *1*, least stable *2*.

---

*1*
A plane-wave DFT calculation with PBE was carried out for a relaxed structure of TbCeSi2.

abc: 3.8762 4.3703 10.7051
angles: 90.00 90.00 90.00
Last column: nearest neighbours and their distance in Å.
Space group Amm2 (No. 38)
Unique sites:
Tb1 0.0000 0.0000 0.0000 x2  7 Si 3.00-3.16
Ce1 0.5000 0.0000 0.7203 x2  7 Si 3.01-3.17
Si1 0.0000 0.0000 0.2874 x2  2 Si 2.50
Si2 0.5000 0.0000 0.4346 x2  2 Si 2.50

Calculated values
The crystal system is orthorhombic.

---

*2*
A plane-wave DFT calculation with PBE was carried out for a relaxed structure of TbCeSi2.

abc: 4.6220 4.6220 15.4463
angles: 90.00 90.00 120.00
Last column: nearest neighbours and their distance in Å.
Space group R-3m (No. 166, hexagonal axes)
Unique sites:
Tb1 0.0000 0.0000 0.0000 x3  6 Si 2.95
Ce1 0.0000 0.0000 0.5000 x3  6 Si 2.97
Si1 0.0000 0.0000 0.2516 x6  3 Tb 2.95, 3 Ce 2.97

Calculated values
The crystal system is trigonal.

---

Stability summary: most stable *1*, least stable *2*.

---

*1*
A plane-wave DFT calculation with PBE was carried out for a relaxed structure of CeSiTc2.

abc: 3.2440 3.2440 6.3905
angles: 90.00 90.00 90.00
Last column: nearest neighbours and their distance in Å.
Space group P4/mmm (No. 123)
Unique sites:
Ce1 0.0000 0.0000 0.0000 x1  8 Tc 2.96, 2 Si 3.20, 4 Ce 3.24
Si1 0.0000 0.0000 0.5000 x1  8 Tc 2.65
Tc1 0.5000 0.5000 0.2920 x2  4 Si 2.65, 1 Tc 2.66, 4 Ce 2.96

Calculated values
The crystal system is tetragonal.

---

*2*
A plane-wave DFT calculation with PBE was carried out for a relaxed structure of CeSiTc2.

abc: 4.1430 4.1430 8.5417
angles: 90.00 90.00 90.00
Last column: nearest neighbours and their distance in Å.
Space group P4/nmm (No. 129, origin choice 2)
Unique sites:
Ce1 0.2500 0.2500 0.2244 x2  1 Tc 2.27
Si1 0.2500 0.2500 0.6537 x2  5 Tc 2.45-2.60
Tc1 0.2500 0.2500 0.9586 x2  1 Ce 2.27
Tc2 0.2500 0.7500 0.5000 x2  4 Si 2.45

Calculated values
The crystal system is tetragonal.

---

*3*
A plane-wave DFT calculation with PBE was carried out for a relaxed structure of CeSiTc2.

abc: 2.9451 2.9451 26.2422
angles: 90.00 90.00 120.00
Last column: nearest neighbours and their distance in Å.
Space group R-3m (No. 166, hexagonal axes)
Unique sites:
Ce1 0.0000 0.0000 0.0000 x3  2 Tc 2.53
Si1 0.0000 0.0000 0.5000 x3  6 Tc 2.51
Tc1 0.0000 0.0000 0.0965 x6  3 Si 2.51, 1 Ce 2.53

Calculated values
The crystal system is trigonal.

---

Stability summary: most stable *2*, least stable *3*.

---

*1*
A plane-wave DFT calculation with PBE was carried out for a relaxed structure of CeSiTc2.

abc: 6.4125 6.4125 6.4125
angles: 90.00 90.00 90.00
Last column: nearest neighbours and their distance in Å.
Space group Fm-3m (No. 225)
Unique sites:
Ce1 0.0000 0.0000 0.0000 x4  8 Tc 2.78
Si1 0.0000 0.0000 0.5000 x4  8 Tc 2.78
Tc1 0.2500 0.2500 0.2500 x8  4 Ce 2.78, 4 Si 2.78

Calculated values
The crystal system is cubic.

---

*2*
A plane-wave DFT calculation with PBE was carried out for a relaxed structure of CeSiTc2.

abc: 4.4247 4.4247 3.3826
angles: 90.00 90.00 90.00
Last column: nearest neighbours and their distance in Å.
Space group P4/mmm (No. 123)
Unique sites:
Ce1 0.0000 0.0000 0.0000 x1  8 Tc 2.78
Si1 0.5000 0.5000 0.0000 x1  8 Tc 2.78
Tc1 0.0000 0.5000 0.5000 x2  4 Ce 2.78, 4 Si 2.78

Calculated values
The crystal system is tetragonal.

---

Stability summary: most stable *2*, least stable *1*.

---

*1*
A plane-wave DFT calculation with PBE was carried out for a relaxed structure of CeSi3Tc.

abc: 5.4371 8.5285 7.9080
angles: 90.00 90.00 90.00
Last column: nearest neighbours and their distance in Å.
Space group Imma (No. 74)
Unique sites:
Ce1 0.0000 0.2500 0.0481 x4  11 Si 3.11-3.36, 4 Tc 3.48
Si1 0.0000 0.2500 0.6525 x4  2 Tc 2.45, 4 Si 2.51
Si2 0.2500 0.0195 0.7500 x8  2 Tc 2.40, 2 Si 2.51
Tc1 0.0000 0.0000 0.5000 x4  6 Si 2.40-2.45

Calculated values
The crystal system is orthorhombic.

---

*2*
A plane-wave DFT calculation with PBE was carried out for a relaxed structure of CeSi3Tc.

abc: 4.1780 4.1780 10.2506
angles: 90.00 90.00 90.00
Last column: nearest neighbours and their distance in Å.
Space group I4mm (No. 107)
Unique sites:
Ce1 0.0000 0.0000 0.0000 x2  8 Si 3.03-3.11
Si1 0.0000 0.0000 0.4327 x2  1 Tc 2.37, 4 Si 2.64
Si2 0.0000 0.5000 0.2757 x4  2 Tc 2.38, 2 Si 2.64
Tc1 0.0000 0.0000 0.6639 x2  5 Si 2.37-2.38

Calculated values
The crystal system is tetragonal.

---

Stability summary: most stable *2*, least stable *1*.

---

*1*
A plane-wave DFT calculation with PBE was carried out for a relaxed structure of Ce3Si3Tc2.

abc: 7.4761 14.7541 5.9342
angles: 90.00 90.00 90.00
Last column: nearest neighbours and their distance in Å.
Space group Pnma (No. 62)
Unique sites:
Ce1 0.0081 0.1040 0.1082 x8  1 Tc 2.72, 1 Si 3.03
Ce2 0.1418 0.2500 0.6162 x4  5 Si 2.94-3.20, 4 Tc 3.05-3.22
Si1 0.1392 0.0443 0.5812 x8  3 Tc 2.44-2.50, 1 Si 2.64
Si2 0.2074 0.7500 0.6107 x4  2 Tc 2.57
Tc1 0.1738 0.6016 0.3871 x8  4 Si 2.44-2.57, 1 Ce 2.72

Calculated values
The crystal system is orthorhombic.

---

*2*
A plane-wave DFT calculation with PBE was carried out for a relaxed structure of Ce3Si3Tc2.

abc: 4.0762 4.5169 17.6308
angles: 90.00 90.00 90.00
Last column: nearest neighbours and their distance in Å.
Space group Immm (No. 71)
Unique sites:
Ce1 0.0000 0.0000 0.0000 x2  4 Si 3.04, 4 Ce 3.26
Ce2 0.0000 0.5000 0.1333 x4  4 Tc 2.86-3.09, 6 Si 3.11-3.14
Si1 0.0000 0.0000 0.5000 x2  8 Ce 3.04-3.11
Si2 0.0000 0.5000 0.3225 x4  4 Tc 2.43-2.57
Tc1 0.0000 0.0000 0.2529 x4  4 Si 2.43-2.57

Calculated values
The crystal system is orthorhombic.

---

Stability summary: most stable *1*, least stable *2*.

---

*1*
A plane-wave DFT calculation with PBE was carried out for a relaxed structure of Ce2SiTc3.

abc: 5.4258 5.4258 8.5723
angles: 90.00 90.00 120.00
Last column: nearest neighbours and their distance in Å.
Space group P6_3/mmc (No. 194)
Unique sites:
Ce1 0.3333 0.6667 0.0790 x4  1 Ce 2.93, 9 Tc 3.08-3.21, 3 Si 3.20
Si1 0.0000 0.0000 0.0000 x2  6 Tc 2.68
Tc1 0.1704 0.3408 0.7500 x6  4 Tc 2.65-2.77, 2 Si 2.68

Calculated values
The crystal system is hexagonal.

---

*2*
A plane-wave DFT calculation with PBE was carried out for a relaxed structure of Ce2SiTc3.

abc: 5.4324 5.4324 12.7773
angles: 90.00 90.00 120.00
Last column: nearest neighbours and their distance in Å.
Space group R-3m (No. 166, hexagonal axes)
Unique sites:
Ce1 0.0000 0.0000 0.1216 x6  4 Ce 3.11-3.34, 9 Tc 3.13, 3 Si 3.19
Si1 0.0000 0.0000 0.5000 x3  6 Tc 2.64
Tc1 0.0000 0.5000 0.0000 x9  2 Si 2.64, 4 Tc 2.72

Calculated values
The crystal system is trigonal.

---

Stability summary: most stable *2*, least stable *1*.

---

*1*
A plane-wave DFT calculation with PBE was carried out for a relaxed structure of Ce2Si4Tc3.

abc: 5.2639 9.9536 12.2107
angles: 90.00 90.00 90.00
Last column: nearest neighbours and their distance in Å.
Space group Fmmm (No. 69)
Unique sites:
Ce1 0.0000 0.0000 0.1359 x8  8 Si 3.04-3.21, 6 Tc 3.11-3.27, 1 Ce 3.32
Si1 0.0000 0.1810 0.3367 x16  3 Tc 2.49-2.69, 1 Si 2.52
Tc1 0.0000 0.0000 0.5000 x4  4 Si 2.69, 4 Tc 2.81
Tc2 0.2500 0.2500 0.0000 x8  4 Si 2.49, 2 Tc 2.63

Calculated values
The crystal system is orthorhombic.

---

*2*
A plane-wave DFT calculation with PBE was carried out for a relaxed structure of Ce2Si4Tc3.

abc: 6.8255 6.7565 7.0185
angles: 90.00 111.01 90.00
Last column: nearest neighbours and their distance in Å.
Space group P2_1/c (No. 14)
Unique sites:
Ce1 0.1851 0.1595 0.0501 x4  7 Si 2.84-3.05, 1 Tc 3.01
Si1 0.1083 0.5608 0.8816 x4  4 Tc 2.50-2.64, 1 Si 2.72
Si2 0.4852 0.6502 0.6330 x4  5 Tc 2.55-2.74, 1 Si 2.81, 2 Ce 2.84
Tc1 0.2452 0.6411 0.2588 x4  6 Si 2.50-2.64
Tc2 0.5000 0.0000 0.5000 x2  6 Si 2.53-2.74

Calculated values
The crystal system is monoclinic.

---

Stability summary: most stable *2*, least stable *1*.

---

*1*
A plane-wave DFT calculation with PBE was carried out for a relaxed structure of Ce6SiTc2.

abc: 10.0344 4.9492 8.6228
angles: 90.00 96.88 90.00
Last column: nearest neighbours and their distance in Å.
Space group C2/m (No. 12)
Unique sites:
Ce1 0.0455 0.0000 0.3493 x4  3 Ce 2.86-2.93, 1 Si 2.99, 3 Tc 3.05-3.08
Ce2 0.1127 0.5000 0.6705 x4  3 Tc 2.87-3.02, 2 Ce 2.93
Ce3 0.1871 0.5000 0.1024 x4  1 Tc 2.38
Si1 0.0000 0.0000 0.0000 x2  6 Ce 2.99-3.17
Tc1 0.2250 0.5000 0.3802 x4  1 Ce 2.38

Calculated values
The crystal system is monoclinic.

---

*2*
A plane-wave DFT calculation with PBE was carried out for a relaxed structure of Ce6SiTc2.

abc: 8.6921 8.9592 10.8932
angles: 90.00 90.00 90.00
Last column: nearest neighbours and their distance in Å.
Space group Immm (No. 71)
Unique sites:
Ce1 0.0000 0.1982 0.1654 x8  3 Tc 2.79-2.97
Ce2 0.1673 0.5000 0.2558 x8  3 Ce 2.91-3.22, 2 Tc 2.98-3.17, 2 Si 3.03-3.14
Ce3 0.1865 0.2075 0.5000 x8  3 Tc 2.87-2.89, 1 Si 3.08
Si1 0.0000 0.5000 0.0000 x2  12 Ce 3.14-3.30
Si2 0.0000 0.5000 0.5000 x2  2 Tc 2.79, 8 Ce 3.03-3.08
Tc1 0.0000 0.0000 0.3626 x4  6 Ce 2.79-2.89, 1 Tc 2.99
Tc2 0.1794 0.0000 0.0000 x4  1 Si 2.79, 8 Ce 2.87-2.98, 1 Tc 3.12

Calculated values
The crystal system is orthorhombic.

---

Stability summary: most stable *1*, least stable *2*.

---

*1*
A plane-wave DFT calculation with PBE was carried out for a relaxed structure of Ce3Si2Tc.

abc: 16.7868 3.4531 4.6582
angles: 90.00 106.05 90.00
Last column: nearest neighbours and their distance in Å.
Space group C2/m (No. 12)
Unique sites:
Ce1 0.0000 0.0000 0.0000 x2  4 Tc 2.90, 4 Si 3.05
Ce2 0.1805 0.5000 0.1800 x4  5 Si 3.05-3.18, 2 Ce 3.39
Si1 0.1223 0.0000 0.6218 x4  2 Tc 2.62
Tc1 0.0000 0.5000 0.5000 x2  4 Si 2.62, 4 Ce 2.90

Calculated values
The crystal system is monoclinic.

---

*2*
A plane-wave DFT calculation with PBE was carried out for a relaxed structure of Ce3Si2Tc.

abc: 7.9173 7.9173 15.8555
angles: 90.00 90.00 120.00
Last column: nearest neighbours and their distance in Å.
Space group R-3c (No. 167, hexagonal axes)
Unique sites:
Ce1 0.0000 0.3494 0.2500 x18  2 Tc 2.90, 4 Si 2.92-3.05
Si1 0.0000 0.0000 0.1697 x12  1 Si 2.55, 1 Tc 2.69
Tc1 0.0000 0.0000 0.0000 x6  2 Si 2.69, 6 Ce 2.90

Calculated values
The crystal system is trigonal.

---

Stability summary: most stable *1*, least stable *2*.

---

*1*
A plane-wave DFT calculation with PBE was carried out for a relaxed structure of CeThSi2.

abc: 4.2271 4.2271 20.7056
angles: 90.00 90.00 120.00
Last column: nearest neighbours and their distance in Å.
Space group R-3m (No. 166, hexagonal axes)
Unique sites:
Ce1 0.0000 0.0000 0.0000 x3  6 Si 2.96
Th1 0.0000 0.0000 0.5000 x3  6 Si 3.02
Si1 0.0000 0.0000 0.2527 x6  3 Ce 2.96, 3 Th 3.02

Calculated values
The crystal system is trigonal.

---

*2*
A plane-wave DFT calculation with PBE was carried out for a relaxed structure of CeThSi2.

abc: 3.9757 4.3974 10.8520
angles: 90.00 90.00 90.00
Last column: nearest neighbours and their distance in Å.
Space group Amm2 (No. 38)
Unique sites:
Ce1 0.0000 0.0000 0.0000 x2  7 Si 3.05-3.18
Th1 0.5000 0.0000 0.2795 x2  7 Si 3.05-3.20
Si1 0.0000 0.0000 0.7117 x2  2 Si 2.55
Si2 0.5000 0.0000 0.5649 x2  2 Si 2.55

Calculated values
The crystal system is orthorhombic.

---

Stability summary: most stable *2*, least stable *1*.